Computed, not measured: a geometry-optimized BaNa2Pb structure at the PBE level of DFT.

Unit cell a=6.608 b=6.608 c=8.787 alpha=95.39 beta=95.39 gamma=50.26
Positions (direct):
Ba: 0.000 0.000 0.000
Ba: 0.686 0.686 0.753
Na: 0.182 0.182 0.391
Na: 0.378 0.378 0.703
Na: 0.468 0.468 0.351
Na: 0.777 0.777 0.245
Pb: 0.299 0.299 0.039
Pb: 0.965 0.965 0.577

Values from the calculation:
Uncorrected energy, eV per atom: -2.3365
Fermi-level density of states, states/eV per cell: 0.67
E_form, meV/atom: -269
SG: Cm